Below is a relaxed structure of LiCa2P, with properties calculated at the PBE level.

Cell lengths 8.3401, 8.3401, 6.8475 Å; angles 52.48, 52.48, 90.00 degrees
Element x y z (fractional)
P1 0.0000 0.0000 0.0000
P2 0.7500 0.2500 0.5000
Ca1 0.6872 0.1250 0.2500
Ca2 0.0628 0.6250 0.2500
Ca3 0.3750 0.3128 0.7500
Ca4 0.8750 0.9372 0.7500
Li1 0.5000 0.5000 0.0000
Li2 0.2500 0.7500 0.5000

formation enthalpy at 0 K = -1.28 eV/f.u.
N(E_F) = 0.480 states/eV/atom
V = 242.05 Å³/cell
space group = I-42d

Below is a relaxed structure of Na3TmMn2S6, with properties calculated at the PBE level.

Cell lengths 6.4329, 6.4329, 6.9997 Å; angles 98.81, 98.81, 120.16 degrees
Element x y z (fractional)
Na1 0.1634 0.8366 0.5000
Na2 0.5000 0.5000 0.5000
Na3 0.8366 0.1634 0.5000
Tm1 0.0000 0.0000 0.0000
S1 0.5723 0.9282 0.7908
S2 0.4277 0.0718 0.2092
S3 0.9282 0.5723 0.7908
S4 0.2853 0.2853 0.7891
S5 0.7147 0.7147 0.2109
S6 0.0718 0.4277 0.2092
Mn1 0.3333 0.6667 0.0000
Mn2 0.6667 0.3333 0.0000

N(E_F) = 0.464 states/eV/atom
V = 238.35 Å³/cell
energy relative to the elements, uncorrected = -1.1201 eV/atom
space group = C2/m

Below is a relaxed structure of Ac2Cd2InPt5, with properties calculated at the PBE level.

Cell lengths 3.8397, 10.6692, 10.6692 Å; angles 90.00, 90.00, 90.00 degrees
Element x y z (fractional)
Pt1 0.5000 0.5459 0.6962
Pt2 0.5000 0.8038 0.9541
Pt3 0.5000 0.3038 0.5459
Pt4 0.5000 0.0000 0.5000
Pt5 0.5000 0.4541 0.3038
Pt6 0.5000 0.0459 0.8038
Pt7 0.5000 0.6962 0.4541
Pt8 0.5000 0.9541 0.1962
Pt9 0.5000 0.5000 0.0000
Pt10 0.5000 0.1962 0.0459
Ac1 0.0000 0.6736 0.1736
Ac2 0.0000 0.3264 0.8264
Ac3 0.0000 0.8264 0.6736
Ac4 0.0000 0.1736 0.3264
Cd1 0.0000 0.6266 0.8734
Cd2 0.0000 0.3734 0.1266
Cd3 0.0000 0.1266 0.6266
Cd4 0.0000 0.8734 0.3734
In1 0.0000 0.5000 0.5000
In2 0.0000 0.0000 0.0000

formation enthalpy at 0 K = -5.62 eV/f.u.
N(E_F) = 0.499 states/eV/atom
V = 437.09 Å³/cell
space group = P4/mbm

Below is a relaxed structure of K3YTh2S6, with properties calculated at the PBE level.

Cell lengths 7.0813, 7.0813, 7.8282 Å; angles 98.67, 98.67, 120.00 degrees
Element x y z (fractional)
Th1 0.6666 0.3334 0.0000
Th2 0.3334 0.6666 0.0000
K1 0.1667 0.8333 0.5000
K2 0.8333 0.1667 0.5000
K3 0.5000 0.5000 0.5000
S1 0.9299 0.5997 0.7898
S2 0.2601 0.2601 0.7898
S3 0.4003 0.0701 0.2102
S4 0.0701 0.4003 0.2102
S5 0.5997 0.9299 0.7898
S6 0.7399 0.7399 0.2102
Y1 0.0000 0.0000 0.0000

N(E_F) = 0.591 states/eV/atom
V = 324.14 Å³/cell
energy relative to the elements, uncorrected = -1.7404 eV/atom
space group = C2/m

Below is a relaxed structure of La3CeMg4, with properties calculated at the PBE level.

Cell lengths 3.9262, 5.5660, 11.1376 Å; angles 90.00, 90.00, 90.00 degrees
Element x y z (fractional)
Mg1 0.0000 0.5000 0.7536
Mg2 0.0000 0.0000 0.0000
Mg3 0.0000 0.0000 0.5000
Mg4 0.0000 0.5000 0.2464
La1 0.5000 0.0000 0.7522
La2 0.5000 0.0000 0.2478
La3 0.5000 0.5000 0.5000
Ce1 0.5000 0.5000 0.0000

formation enthalpy at 0 K = -0.50 eV/f.u.
N(E_F) = 1.535 states/eV/atom
V = 243.39 Å³/cell
space group = Pmmm

Below is a relaxed structure of Li2Y3Rh7, with properties calculated at the PBE level.

Cell lengths 5.3341, 5.3341, 8.8876 Å; angles 72.54, 72.54, 60.00 degrees
Element x y z (fractional)
Y1 0.0000 0.0000 0.0000
Y2 0.1408 0.1408 0.5777
Y3 0.8592 0.8592 0.4223
Li1 0.3357 0.3357 0.9929
Li2 0.6643 0.6643 0.0071
Rh1 0.9226 0.4153 0.2468
Rh2 0.4153 0.9226 0.2468
Rh3 0.4153 0.4153 0.2468
Rh4 0.5847 0.0774 0.7532
Rh5 0.5847 0.5847 0.7532
Rh6 0.5000 0.5000 0.5000
Rh7 0.0774 0.5847 0.7532

formation enthalpy at 0 K = -6.58 eV/f.u.
N(E_F) = 0.677 states/eV/atom
V = 205.43 Å³/cell
space group = R-3m

| no. | total magnetization (μB/cell) |
| --- | --- |
| 1 | 0.0 |
| 2 | 8.0 |
| 3 | 0.0 |
| 4 | 0.0 |
| 5 | 1.0 |
| 6 | 0.0 |